Here is a geometry-optimized KNaLi2Ca structure from Alexandria via LeMat-Bulk. Energies are from PBE.

Calculated volume = 42.9 Å³/atom
E_form = 0.3288 eV per atom
Magnetic moment = 0.000 μB/atom
N(E_F) = 0.767 states/eV per atom
Crystal system = tetragonal

a b c (Å): 5.802 6.365 5.802
angles (deg): 90.00 90.00 90.00
Atoms (fractional coordinates):
Li: 0.000 0.000 0.500
Li: 0.500 0.000 0.000
Na: 0.000 0.000 0.000
K: 0.500 0.500 0.500
Ca: 0.000 0.500 0.000

***

Here is a geometry-optimized PrEr2Ir structure from Alexandria via LeMat-Bulk. Energies are from PBE.

Calculated volume = 26.8 Å³/atom
E_form = -0.4615 eV per atom
Magnetic moment = 0.000 μB/atom
Energy relative to the lowest polymorph listed for this composition = 0.35 eV per formula unit
N(E_F) = 1.156 states/eV per atom
Crystal system = tetragonal

a b c (Å): 3.471 3.471 8.899
angles (deg): 90.00 90.00 90.00
Atoms (fractional coordinates):
Er: 0.000 0.000 0.181
Er: 0.000 0.000 0.819
Ir: 0.500 0.500 0.000
Pr: 0.500 0.500 0.500

***

Here is a geometry-optimized Nd4YEr8 structure from Alexandria via LeMat-Bulk. Energies are from PBE.

Calculated volume = 36.3 Å³/atom
E_form = 0.5205 eV per atom
Magnetic moment = 0.134 μB/atom
N(E_F) = 1.642 states/eV per atom
Crystal system = trigonal

a b c (Å): 11.014 11.015 7.785
angles (deg): 90.00 135.03 120.00
Atoms (fractional coordinates):
Y: 0.000 0.500 0.500
Er: 0.999 0.760 0.239
Er: 0.480 0.240 0.239
Er: 0.520 0.760 0.761
Er: 0.999 0.240 0.239
Er: 0.520 0.760 0.280
Er: 0.001 0.760 0.761
Er: 0.001 0.240 0.761
Er: 0.480 0.240 0.720
Nd: 0.000 0.000 0.000
Nd: 0.500 0.000 0.000
Nd: 0.000 0.500 0.000
Nd: 0.500 0.500 0.000

***

Here is a geometry-optimized BaNbPb structure from Alexandria via LeMat-Bulk. Energies are from PBE.

Calculated volume = 30.5 Å³/atom
E_form = 0.0176 eV per atom
Magnetic moment = 0.000 μB/atom
Energy relative to the lowest polymorph listed for this composition = 0.00 eV per formula unit
N(E_F) = 0.612 states/eV per atom
Crystal system = tetragonal

a b c (Å): 3.693 3.693 13.439
angles (deg): 90.00 90.00 90.00
Atoms (fractional coordinates):
Nb: 0.000 0.000 0.321
Nb: 0.500 0.500 0.391
Pb: 0.000 0.000 0.537
Pb: 0.000 0.000 0.921
Ba: 0.500 0.500 0.115
Ba: 0.500 0.500 0.730

***

Here is a geometry-optimized NaMnSn2Br6 structure from Alexandria via LeMat-Bulk. Energies are from PBE.

Calculated volume = 35.9 Å³/atom
E_form (uncorrected) = -791.3 meV/atom
Magnetic moment = 0.400 μB/atom
Crystal system = triclinic

a b c (Å): 6.912 8.123 7.974
angles (deg): 62.04 72.15 66.64
Atoms (fractional coordinates):
Br: 0.180 0.919 0.341
Br: 0.103 0.380 0.823
Br: 0.613 0.197 0.164
Br: 0.417 0.717 0.804
Br: 0.729 0.124 0.710
Br: 0.860 0.633 0.303
Mn: 0.463 0.390 0.828
Na: 0.816 0.783 0.598
Sn: 0.000 0.988 0.023
Sn: 0.480 0.532 0.419

***

Here is a geometry-optimized KInAg3 structure from Alexandria via LeMat-Bulk. Energies are from PBE.

Calculated volume = 28.2 Å³/atom
E_form = 0.0202 eV per atom
Magnetic moment = 0.000 μB/atom
Energy relative to the lowest polymorph listed for this composition = 0.00 eV per formula unit
N(E_F) = 0.423 states/eV per atom
Crystal system = orthorhombic

a b c (Å): 5.919 7.524 7.524
angles (deg): 76.97 66.84 66.84
Atoms (fractional coordinates):
Ag: 0.250 0.103 0.397
Ag: 0.282 0.218 0.718
Ag: 0.782 0.218 0.718
Ag: 0.218 0.782 0.282
Ag: 0.718 0.782 0.282
Ag: 0.750 0.897 0.603
K: 0.750 0.312 0.188
K: 0.250 0.688 0.812
In: 0.000 0.500 0.500
In: 0.500 0.000 0.000

***

Here is a geometry-optimized U3Tl3SnS8 structure from Alexandria via LeMat-Bulk. Energies are from PBE.

Calculated volume = 28.6 Å³/atom
E_form (uncorrected) = -964.3 meV/atom
Magnetic moment = 0.467 μB/atom
N(E_F) = 0.811 states/eV per atom
Crystal system = trigonal

a b c (Å): 8.162 8.162 8.798
angles (deg): 117.64 90.00 120.00
Atoms (fractional coordinates):
Tl: 0.500 0.500 0.000
Tl: 0.000 0.500 0.000
Tl: 0.000 0.000 0.000
S: 0.760 0.520 0.306
S: 0.240 0.954 0.694
S: 0.240 0.480 0.694
S: 0.286 0.046 0.306
S: 0.714 0.954 0.694
S: 0.760 0.046 0.306
S: 0.732 0.464 0.696
S: 0.268 0.536 0.304
U: 0.500 0.000 0.500
U: 0.000 0.500 0.500
U: 0.500 0.500 0.500
Sn: 0.000 0.000 0.500

***

Here is a geometry-optimized Y2Ho3ErAs6 structure from Alexandria via LeMat-Bulk. Energies are from PBE.

Calculated volume = 24.4 Å³/atom
E_form = -1.5364 eV per atom
Magnetic moment = 0.000 μB/atom
N(E_F) = 0.152 states/eV per atom
Crystal system = monoclinic

a b c (Å): 4.105 8.208 9.177
angles (deg): 102.90 102.93 90.00
Atoms (fractional coordinates):
As: 0.334 0.416 0.667
As: 0.001 0.751 0.001
As: 0.666 0.584 0.333
As: 0.666 0.082 0.333
As: 0.999 0.249 0.999
As: 0.334 0.918 0.667
Y: 0.166 0.333 0.333
Y: 0.834 0.667 0.667
Er: 0.500 0.000 0.000
Ho: 0.833 0.167 0.666
Ho: 0.500 0.500 0.000
Ho: 0.167 0.833 0.334